No. 1
# KReMo2

An optimized crystal structure of KReMo2 (PBE, the Alexandria database).

Output
Magnetization, μB/f.u.: 0.00
ΔE to the lowest computed polymorph, eV/f.u.: 4.38
Calculated density, Mg/m³: 6.3
Formation enthalpy at 0 K, kJ/mol of atoms: 176
Electronic total energy, eV per atom: -6.973

```
8
Lattice="-2.535 2.535 8.560 2.535 -2.535 8.560 2.535 2.535 -8.560" Properties=species:S:1:pos:R:3 pbc="T T T"
K 0.000 0.000 0.000
K 0.000 2.535 4.280
Re 2.535 0.000 4.280
Re 0.000 0.000 8.560
Mo 1.268 -0.094 6.420
Mo 2.441 1.268 2.140
Mo 1.268 2.630 -2.140
Mo 0.094 1.268 10.701
```

=====

No. 2
# KReMo2

An optimized crystal structure of KReMo2 (PBE, the Alexandria database).

Output
Magnetization, μB/f.u.: 0.00
ΔE to the lowest computed polymorph, eV/f.u.: 2.69
Calculated density, Mg/m³: 9.8
Formation enthalpy at 0 K, kJ/mol of atoms: 136
Electronic total energy, eV per atom: -7.395

```
4
Lattice="2.990 -4.734 0.000 2.990 4.734 0.000 -0.815 0.000 2.500" Properties=species:S:1:pos:R:3 pbc="T T T"
K 0.000 0.000 0.000
Re 2.990 0.000 0.000
Mo 1.088 2.367 1.250
Mo 1.088 -2.367 1.250
```

=====

No. 3
# K3ReMo

An optimized crystal structure of K3ReMo (PBE, the Alexandria database).

Output
Magnetization, μB/f.u.: 8.15
ΔE to the lowest computed polymorph, eV/f.u.: 0.00
Calculated density, Mg/m³: 2.6
Formation enthalpy at 0 K, kJ/mol of atoms: 224
Electronic total energy, eV per atom: -2.990

```
5
Lattice="6.363 0.000 0.000 0.000 6.363 0.000 0.000 0.000 6.363" Properties=species:S:1:pos:R:3 pbc="T T T"
K 0.000 0.000 3.181
K 0.000 3.181 0.000
K 3.181 0.000 0.000
Re 0.000 0.000 0.000
Mo 3.181 3.181 3.181
```